(1)
## CrTe3Cl (meta-GGA SCAN)

Data for a PBEsol-optimized structure of CrTe3Cl.

Values from the calculation:
* D(E_F): 6.43 states/eV per cell
* space-group type: Pm-3m, No. 221
* formation energy without anion corrections: 0.207 eV/atom
* calculated total energy: -27.42 eV/atom

a b c (Å): 5.021 5.021 5.021
angles (deg): 90.00 90.00 90.00
Last column: magnetic moment on the atom in μB.
Positions (direct):
Cr  0.000  0.000  0.000  2.65
Te  0.000  0.500  0.000  -0.07
Te  0.000  0.000  0.500  -0.07
Te  0.500  0.000  0.000  -0.07
Cl  0.500  0.500  0.500  -0.07

(2)
## AlTc2P (meta-GGA SCAN)

Data for a PBEsol-optimized structure of AlTc2P.

Values from the calculation:
* D(E_F): 3.08 states/eV per cell
* space-group type: Cmm2, No. 35
* ΔH_f (0 K): 0.124 eV/atom
* offset from the most stable computed form: 43.3 kJ/mol of atoms
* calculated total energy: -21.94 eV/atom

a b c (Å): 2.732 2.732 8.178
angles (deg): 90.00 90.00 113.51
Positions (direct):
P  0.500  0.500  0.239
Tc  0.000  0.000  0.012
Tc  0.500  0.500  0.751
Al  0.000  0.000  0.497